# 1
Below is a relaxed structure of Ce2Pd2Pt15, with properties calculated at the PBE level.

Computed properties:
D(E_F)   20.228 states/eV/f.u.
Magnetic moment   0.022 μB per atom
Final energy   -121.473 eV per cell
SG   R-3m
Energy of formation   -0.45 eV/atom
Calculated volume   17.6 Å³ per atom

```
Ce2Pd2Pt15
1.0
4.650 2.685 4.461
-4.650 2.685 4.461
0.000 -5.370 4.461
Ce Pd Pt
2 2 15
Cartesian
0.000 0.000 2.231 Ce
0.000 0.000 11.153 Ce
0.000 0.000 5.296 Pd
0.000 0.000 8.088 Pd
-2.325 -1.342 4.461 Pt
0.000 -2.730 4.329 Pt
-2.364 1.365 4.329 Pt
-1.455 -2.521 6.692 Pt
-2.911 0.000 6.692 Pt
-2.364 -1.365 9.055 Pt
-2.325 1.342 8.923 Pt
1.455 -2.521 6.692 Pt
0.000 2.685 4.461 Pt
-1.455 2.521 6.692 Pt
2.364 1.365 4.329 Pt
2.911 0.000 6.692 Pt
1.455 2.521 6.692 Pt
2.364 -1.365 9.055 Pt
0.000 2.730 9.055 Pt
```

***

# 2
Below is a relaxed structure of Ce2Pd7Pt, with properties calculated at the PBE level.

Computed properties:
D(E_F)   5.377 states/eV/f.u.
Magnetic moment   0.036 μB per atom
Final energy   -56.036 eV per cell
SG   Cmmm
Energy of formation   -0.18 eV/atom
Calculated volume   21.0 Å³ per atom

```
Ce2Pd7Pt
1.0
3.644 -7.516 0.000
3.644 7.516 0.000
0.000 0.000 3.833
Ce Pd Pt
2 7 1
Cartesian
3.644 4.755 0.000 Ce
3.644 -4.755 0.000 Ce
0.000 0.000 0.000 Pd
2.249 1.464 0.000 Pd
3.644 2.808 1.916 Pd
2.249 -1.464 0.000 Pd
5.039 1.464 0.000 Pd
3.644 -2.808 1.916 Pd
5.039 -1.464 0.000 Pd
3.644 0.000 1.916 Pt
```

***

# 3
Below is a relaxed structure of CePuPdPt, with properties calculated at the PBE level.

Computed properties:
D(E_F)   13.620 states/eV/f.u.
Magnetic moment   1.652 μB per atom
Final energy   -137.377 eV per cell
SG   F-43m
Energy of formation   -0.71 eV/atom
Calculated volume   22.2 Å³ per atom

```
CePuPdPt
1.0
7.086 0.000 0.000
0.000 7.086 0.000
0.000 0.000 7.086
Ce Pu Pd Pt
4 4 4 4
Cartesian
0.000 0.000 0.000 Ce
0.000 3.543 3.543 Ce
3.543 0.000 3.543 Ce
3.543 3.543 0.000 Ce
0.000 0.000 3.543 Pu
0.000 3.543 0.000 Pu
3.543 0.000 0.000 Pu
3.543 3.543 3.543 Pu
1.772 1.772 5.315 Pd
1.772 5.315 1.772 Pd
5.315 1.772 1.772 Pd
5.315 5.315 5.315 Pd
1.772 1.772 1.772 Pt
1.772 5.315 5.315 Pt
5.315 1.772 5.315 Pt
5.315 5.315 1.772 Pt
```

***

# 4
Below is a relaxed structure of CePuPdPt, with properties calculated at the PBE level.

Computed properties:
D(E_F)   7.778 states/eV/f.u.
Magnetic moment   1.384 μB per atom
Final energy   -138.461 eV per cell
SG   F-43m
Energy of formation   -0.78 eV/atom
Calculated volume   19.6 Å³ per atom

```
CePuPdPt
1.0
6.789 0.000 0.000
0.000 6.789 0.000
0.000 0.000 6.789
Ce Pu Pd Pt
4 4 4 4
Cartesian
0.000 0.000 0.000 Ce
0.000 3.394 3.394 Ce
3.394 0.000 3.394 Ce
3.394 3.394 0.000 Ce
1.697 1.697 1.697 Pu
1.697 5.092 5.092 Pu
5.092 1.697 5.092 Pu
5.092 5.092 1.697 Pu
0.000 0.000 3.394 Pd
0.000 3.394 0.000 Pd
3.394 0.000 0.000 Pd
3.394 3.394 3.394 Pd
1.697 1.697 5.092 Pt
1.697 5.092 1.697 Pt
5.092 1.697 1.697 Pt
5.092 5.092 5.092 Pt
```

***

# 5
Below is a relaxed structure of CePdPtRh, with properties calculated at the PBE level.

Computed properties:
D(E_F)   5.329 states/eV/f.u.
Magnetic moment   0.000 μB per atom
Final energy   -27.870 eV per cell
SG   Pmmm
Energy of formation   -0.84 eV/atom
Calculated volume   17.6 Å³ per atom

```
CePdPtRh
1.0
4.059 0.000 0.000
0.000 4.079 0.000
0.000 0.000 4.243
Ce Pd Pt Rh
1 1 1 1
Cartesian
0.000 0.000 0.000 Ce
2.029 0.000 2.122 Pd
0.000 2.039 2.122 Pt
2.029 2.039 0.000 Rh
```

***

# 6
Below is a relaxed structure of CePdPtRh, with properties calculated at the PBE level.

Computed properties:
D(E_F)   2.559 states/eV/f.u.
Magnetic moment   0.000 μB per atom
Final energy   -108.243 eV per cell
SG   F-43m
Energy of formation   -0.64 eV/atom
Calculated volume   18.0 Å³ per atom

```
CePdPtRh
1.0
6.604 0.000 0.000
0.000 6.604 0.000
0.000 0.000 6.604
Ce Pd Pt Rh
4 4 4 4
Cartesian
0.000 0.000 0.000 Ce
0.000 3.302 3.302 Ce
3.302 0.000 3.302 Ce
3.302 3.302 0.000 Ce
1.651 1.651 1.651 Pd
1.651 4.953 4.953 Pd
4.953 1.651 4.953 Pd
4.953 4.953 1.651 Pd
0.000 0.000 3.302 Pt
0.000 3.302 0.000 Pt
3.302 0.000 0.000 Pt
3.302 3.302 3.302 Pt
1.651 1.651 4.953 Rh
1.651 4.953 1.651 Rh
4.953 1.651 1.651 Rh
4.953 4.953 4.953 Rh
```

***

# 7
Below is a relaxed structure of CeScPdPt, with properties calculated at the PBE level.

Computed properties:
D(E_F)   7.371 states/eV/f.u.
Magnetic moment   0.171 μB per atom
Final energy   -107.906 eV per cell
SG   F-43m
Energy of formation   -0.87 eV/atom
Calculated volume   20.7 Å³ per atom

```
CeScPdPt
1.0
6.914 0.000 0.000
0.000 6.914 0.000
0.000 0.000 6.914
Ce Sc Pd Pt
4 4 4 4
Cartesian
0.000 0.000 0.000 Ce
0.000 3.457 3.457 Ce
3.457 0.000 3.457 Ce
3.457 3.457 0.000 Ce
0.000 0.000 3.457 Sc
0.000 3.457 0.000 Sc
3.457 0.000 0.000 Sc
3.457 3.457 3.457 Sc
1.729 1.729 1.729 Pd
1.729 5.186 5.186 Pd
5.186 1.729 5.186 Pd
5.186 5.186 1.729 Pd
1.729 1.729 5.186 Pt
1.729 5.186 1.729 Pt
5.186 1.729 1.729 Pt
5.186 5.186 5.186 Pt
```

***

# 8
Below is a relaxed structure of Ce2SiPd4Pt2, with properties calculated at the PBE level.

Computed properties:
D(E_F)   12.953 states/eV/f.u.
Energy relative to the elements, uncorrected   -0.847 eV/atom
Magnetic moment   0.167 μB per atom
Final energy   -57.770 eV per cell
SG   I4/mmm
Calculated volume   18.7 Å³ per atom

```
Ce2SiPd4Pt2
1.0
-3.081 3.081 4.433
3.081 -3.081 4.433
3.081 3.081 -4.433
Ce Si Pd Pt
2 1 4 2
Cartesian
3.081 0.000 2.216 Ce
0.000 3.081 2.216 Ce
0.000 0.000 0.000 Si
1.682 1.682 0.000 Pd
1.399 -1.399 4.433 Pd
-1.399 1.399 4.433 Pd
1.399 1.399 4.433 Pd
0.000 0.000 2.364 Pt
0.000 0.000 6.501 Pt
```

***

# 9
Below is a relaxed structure of Ce2Si3PdPt12, with properties calculated at the PBE level.

Computed properties:
D(E_F)   10.267 states/eV/f.u.
Energy relative to the elements, uncorrected   -0.461 eV/atom
Magnetic moment   0.000 μB per atom
Final energy   -114.122 eV per cell
SG   R-3m
Calculated volume   19.4 Å³ per atom

```
Ce2Si3PdPt12
1.0
4.141 2.391 5.865
-4.141 2.391 5.865
0.000 -4.781 5.865
Ce Si Pd Pt
2 3 1 12
Cartesian
0.000 0.000 2.006 Ce
0.000 0.000 15.589 Ce
-2.070 -1.195 5.865 Si
-2.070 1.195 11.730 Si
0.000 2.391 5.865 Si
0.000 0.000 8.797 Pd
-2.176 -1.257 8.200 Pt
0.000 -2.216 5.217 Pt
-1.920 1.108 5.217 Pt
0.000 -2.513 9.394 Pt
-2.176 1.257 9.394 Pt
-1.920 -1.108 12.378 Pt
1.920 1.108 5.216 Pt
2.176 -1.257 8.200 Pt
0.000 2.513 8.200 Pt
1.920 -1.108 12.378 Pt
0.000 2.216 12.378 Pt
2.176 1.257 9.394 Pt
```

***

# 10
Below is a relaxed structure of CeSi2PdPt2, with properties calculated at the PBE level.

Computed properties:
D(E_F)   5.440 states/eV/f.u.
Energy relative to the elements, uncorrected   -0.925 eV/atom
Magnetic moment   0.136 μB per atom
Final energy   -39.606 eV per cell
SG   P-3m1
Calculated volume   17.7 Å³ per atom

```
CeSi2PdPt2
1.0
4.239 0.000 0.000
-2.120 3.671 0.000
0.000 0.000 6.815
Ce Si Pd Pt
1 2 1 2
Cartesian
0.000 0.000 0.000 Ce
0.000 2.447 2.165 Si
2.120 1.224 4.650 Si
0.000 0.000 3.407 Pd
0.000 2.447 4.822 Pt
2.120 1.224 1.992 Pt
```

***

# 11
Below is a relaxed structure of Ce3Si6Pd2Pt, with properties calculated at the PBE level.

Computed properties:
D(E_F)   13.678 states/eV/f.u.
Energy relative to the elements, uncorrected   -0.532 eV/atom
Magnetic moment   0.101 μB per atom
Final energy   -73.153 eV per cell
SG   P-3m1
Calculated volume   19.2 Å³ per atom

```
Ce3Si6Pd2Pt
1.0
5.716 0.000 0.000
-2.858 4.950 0.000
0.000 0.000 8.161
Ce Si Pd Pt
3 6 2 1
Cartesian
0.000 0.000 0.000 Ce
0.000 3.300 5.072 Ce
2.858 1.650 3.088 Ce
0.000 1.861 2.357 Si
-1.246 4.019 2.357 Si
1.612 0.930 5.803 Si
1.246 4.019 2.357 Si
4.104 0.930 5.803 Si
2.858 3.089 5.803 Si
0.000 3.300 0.308 Pd
2.858 1.650 7.853 Pd
0.000 0.000 4.080 Pt
```

***

# 12
Below is a relaxed structure of Ce2Si3PdPt4, with properties calculated at the PBE level.

Computed properties:
D(E_F)   10.357 states/eV/f.u.
Energy relative to the elements, uncorrected   -0.978 eV/atom
Magnetic moment   0.001 μB per atom
Final energy   -67.273 eV per cell
SG   P-4m2
Calculated volume   18.2 Å³ per atom

```
Ce2Si3PdPt4
1.0
4.082 0.000 0.000
0.000 4.082 0.000
0.000 0.000 10.917
Ce Si Pd Pt
2 3 1 4
Cartesian
0.000 2.041 2.675 Ce
2.041 0.000 8.242 Ce
0.000 0.000 0.000 Si
0.000 2.041 6.827 Si
2.041 0.000 4.089 Si
2.041 2.041 0.000 Pd
0.000 0.000 5.458 Pt
0.000 2.041 9.171 Pt
2.041 0.000 1.746 Pt
2.041 2.041 5.458 Pt
```

***

# 13
Below is a relaxed structure of CeSmPdPt, with properties calculated at the PBE level.

Computed properties:
D(E_F)   7.988 states/eV/f.u.
Magnetic moment   0.205 μB per atom
Final energy   -101.418 eV per cell
SG   F-43m
Energy of formation   -0.87 eV/atom
Calculated volume   22.8 Å³ per atom

```
CeSmPdPt
1.0
7.150 0.000 0.000
0.000 7.150 0.000
0.000 0.000 7.150
Ce Sm Pd Pt
4 4 4 4
Cartesian
0.000 0.000 0.000 Ce
0.000 3.575 3.575 Ce
3.575 0.000 3.575 Ce
3.575 3.575 0.000 Ce
0.000 0.000 3.575 Sm
0.000 3.575 0.000 Sm
3.575 0.000 0.000 Sm
3.575 3.575 3.575 Sm
1.788 1.788 1.788 Pd
1.788 5.363 5.363 Pd
5.363 1.788 5.363 Pd
5.363 5.363 1.788 Pd
1.788 1.788 5.363 Pt
1.788 5.363 1.788 Pt
5.363 1.788 1.788 Pt
5.363 5.363 5.363 Pt
```

***

# 14
Below is a relaxed structure of CeSmPdPt, with properties calculated at the PBE level.

Computed properties:
D(E_F)   7.125 states/eV/f.u.
Magnetic moment   0.193 μB per atom
Final energy   -51.413 eV per cell
SG   Amm2
Energy of formation   -0.95 eV/atom
Calculated volume   23.7 Å³ per atom

```
CeSmPdPt
1.0
4.601 0.000 0.000
0.000 3.822 0.000
0.000 0.000 10.762
Ce Sm Pd Pt
2 2 2 2
Cartesian
0.000 0.000 0.000 Ce
0.000 1.911 5.381 Ce
2.300 0.000 7.824 Sm
2.300 1.911 2.444 Sm
2.300 0.000 4.889 Pd
2.300 1.911 10.270 Pd
0.000 0.000 2.964 Pt
0.000 1.911 8.345 Pt
```

***

# 15
Below is a relaxed structure of CeSnPdPt, with properties calculated at the PBE level.

Computed properties:
D(E_F)   5.586 states/eV/f.u.
Magnetic moment   0.127 μB per atom
Final energy   -97.469 eV per cell
SG   F-43m
Energy of formation   -0.80 eV/atom
Calculated volume   20.6 Å³ per atom

```
CeSnPdPt
1.0
6.913 0.000 0.000
0.000 6.913 0.000
0.000 0.000 6.913
Ce Sn Pd Pt
4 4 4 4
Cartesian
0.000 0.000 0.000 Ce
0.000 3.456 3.456 Ce
3.456 0.000 3.456 Ce
3.456 3.456 0.000 Ce
0.000 0.000 3.456 Sn
0.000 3.456 0.000 Sn
3.456 0.000 0.000 Sn
3.456 3.456 3.456 Sn
1.728 1.728 1.728 Pd
1.728 5.185 5.185 Pd
5.185 1.728 5.185 Pd
5.185 5.185 1.728 Pd
1.728 1.728 5.185 Pt
1.728 5.185 1.728 Pt
5.185 1.728 1.728 Pt
5.185 5.185 5.185 Pt
```

***

# 16
Below is a relaxed structure of Ce2Sn4PdPt3, with properties calculated at the PBE level.

Computed properties:
D(E_F)   15.574 states/eV/f.u.
Magnetic moment   0.193 μB per atom
Final energy   -59.102 eV per cell
SG   P-4m2
Energy of formation   -0.79 eV/atom
Calculated volume   22.7 Å³ per atom

```
Ce2Sn4PdPt3
1.0
4.621 0.000 0.000
0.000 4.621 0.000
0.000 0.000 10.652
Ce Sn Pd Pt
2 4 1 3
Cartesian
0.000 2.310 2.566 Ce
2.310 0.000 8.086 Ce
0.000 0.000 5.326 Sn
0.000 2.310 9.299 Sn
2.310 0.000 1.353 Sn
2.310 2.310 5.326 Sn
2.310 2.310 0.000 Pd
0.000 0.000 0.000 Pt
0.000 2.310 6.702 Pt
2.310 0.000 3.950 Pt
```

***

# 17
Below is a relaxed structure of Ce2Sn2PdPt7, with properties calculated at the PBE level.

Computed properties:
D(E_F)   8.395 states/eV/f.u.
Magnetic moment   0.021 μB per atom
Final energy   -73.192 eV per cell
SG   C2/m
Energy of formation   -0.49 eV/atom
Calculated volume   20.4 Å³ per atom

```
Ce2Sn2PdPt7
1.0
2.778 -2.726 0.000
2.778 2.726 0.000
-1.266 0.000 16.136
Ce Sn Pd Pt
2 2 1 7
Cartesian
0.011 0.000 4.177 Ce
4.279 0.000 11.960 Ce
1.305 0.000 9.779 Sn
2.985 0.000 6.357 Sn
2.778 0.000 0.000 Pd
0.000 0.000 0.000 Pt
1.391 1.363 2.117 Pt
0.411 0.000 7.153 Pt
2.899 1.363 14.019 Pt
1.391 -1.363 2.117 Pt
3.879 0.000 8.984 Pt
2.899 -1.363 14.019 Pt
```

***

# 18
Below is a relaxed structure of SrCePdPt, with properties calculated at the PBE level.

Computed properties:
D(E_F)   8.466 states/eV/f.u.
Magnetic moment   0.264 μB per atom
Final energy   -86.683 eV per cell
SG   F-43m
Energy of formation   -0.71 eV/atom
Calculated volume   23.9 Å³ per atom

```
SrCePdPt
1.0
7.258 0.000 0.000
0.000 7.258 0.000
0.000 0.000 7.258
Sr Ce Pd Pt
4 4 4 4
Cartesian
0.000 0.000 0.000 Sr
0.000 3.629 3.629 Sr
3.629 0.000 3.629 Sr
3.629 3.629 0.000 Sr
0.000 0.000 3.629 Ce
0.000 3.629 0.000 Ce
3.629 0.000 0.000 Ce
3.629 3.629 3.629 Ce
1.815 1.815 1.815 Pd
1.815 5.444 5.444 Pd
5.444 1.815 5.444 Pd
5.444 5.444 1.815 Pd
1.815 1.815 5.444 Pt
1.815 5.444 1.815 Pt
5.444 1.815 1.815 Pt
5.444 5.444 5.444 Pt
```

***

# 19
Below is a relaxed structure of CeThPdPt, with properties calculated at the PBE level.

Computed properties:
D(E_F)   7.527 states/eV/f.u.
Magnetic moment   0.216 μB per atom
Final energy   -111.431 eV per cell
SG   F-43m
Energy of formation   -0.82 eV/atom
Calculated volume   23.3 Å³ per atom

```
CeThPdPt
1.0
7.196 0.000 0.000
0.000 7.196 0.000
0.000 0.000 7.196
Ce Th Pd Pt
4 4 4 4
Cartesian
0.000 0.000 0.000 Ce
0.000 3.598 3.598 Ce
3.598 0.000 3.598 Ce
3.598 3.598 0.000 Ce
0.000 0.000 3.598 Th
0.000 3.598 0.000 Th
3.598 0.000 0.000 Th
3.598 3.598 3.598 Th
1.799 1.799 1.799 Pd
1.799 5.397 5.397 Pd
5.397 1.799 5.397 Pd
5.397 5.397 1.799 Pd
1.799 1.799 5.397 Pt
1.799 5.397 1.799 Pt
5.397 1.799 1.799 Pt
5.397 5.397 5.397 Pt
```

***

# 20
Below is a relaxed structure of CeThPdPt, with properties calculated at the PBE level.

Computed properties:
D(E_F)   7.016 states/eV/f.u.
Magnetic moment   0.185 μB per atom
Final energy   -56.753 eV per cell
SG   Amm2
Energy of formation   -0.95 eV/atom
Calculated volume   24.3 Å³ per atom

```
CeThPdPt
1.0
4.471 0.000 0.000
0.000 3.875 0.000
0.000 0.000 11.221
Ce Th Pd Pt
2 2 2 2
Cartesian
0.000 0.000 0.000 Ce
0.000 1.937 5.610 Ce
2.235 0.000 8.153 Th
2.235 1.937 2.543 Th
2.235 0.000 5.101 Pd
2.235 1.937 10.712 Pd
0.000 0.000 3.011 Pt
0.000 1.937 8.621 Pt
```